(1)
Computed, not measured: a geometry-optimized NiIr4 structure at the PBE level of DFT.

Computed properties:
V: 16.433 Å³/atom
energy of formation from the pure elements: 0.9494 eV per atom

The structure in CIF format:
```
data_NiIr4
_symmetry_space_group_name_H-M 'I m -3 m'
_symmetry_Int_Tables_number 229
_symmetry_space_group_name_Hall '-I 4 2 3'
_cell_length_a 5.477
_cell_length_b 5.477
_cell_length_c 5.477
_cell_angle_alpha 90.00
_cell_angle_beta 90.00
_cell_angle_gamma 90.00
loop_
_atom_site_label
_atom_site_type_symbol
_atom_site_fract_x
_atom_site_fract_y
_atom_site_fract_z
Ni1 Ni 0.000 0.000 0.000
Ir1 Ir 0.250 0.250 0.250
```

***

(2)
Computed, not measured: a geometry-optimized Ni2Ir structure at the PBE level of DFT.

Computed properties:
V: 12.344 Å³/atom
energy of formation from the pure elements: 0.0970 eV per atom

The structure in CIF format:
```
data_Ni2Ir
_symmetry_space_group_name_H-M 'P 6/m m m'
_symmetry_Int_Tables_number 191
_symmetry_space_group_name_Hall '-P 6 2'
_cell_length_a 4.0884
_cell_length_b 4.0884
_cell_length_c 2.5581
_cell_angle_alpha 90.00
_cell_angle_beta 90.00
_cell_angle_gamma 120.00
loop_
_atom_site_label
_atom_site_type_symbol
_atom_site_fract_x
_atom_site_fract_y
_atom_site_fract_z
Ni1 Ni 0.3333 0.6667 0.0000
Ir1 Ir 0.0000 0.0000 0.5000
```

***

(3)
Computed, not measured: a geometry-optimized NiIr4 structure at the PBE level of DFT.

Computed properties:
V: 13.914 Å³/atom
energy of formation from the pure elements: 0.0108 eV per atom

The structure in CIF format:
```
data_NiIr4
_symmetry_space_group_name_H-M 'I 4/m'
_symmetry_Int_Tables_number 87
_symmetry_space_group_name_Hall '-I 4'
_cell_length_a 6.037
_cell_length_b 6.037
_cell_length_c 3.817
_cell_angle_alpha 90.00
_cell_angle_beta 90.00
_cell_angle_gamma 90.00
loop_
_atom_site_label
_atom_site_type_symbol
_atom_site_fract_x
_atom_site_fract_y
_atom_site_fract_z
Ni1 Ni 0.000 0.000 0.000
Ir1 Ir 0.102 0.299 0.500
```

***

(4)
Computed, not measured: a geometry-optimized Ni2Ir structure at the PBE level of DFT.

Computed properties:
V: 12.227 Å³/atom
energy of formation from the pure elements: 0.0396 eV per atom

The structure in CIF format:
```
data_Ni2Ir
_symmetry_space_group_name_H-M 'P n m a'
_symmetry_Int_Tables_number 62
_cell_length_a 5.171
_cell_length_b 3.667
_cell_length_c 7.739
_cell_angle_alpha 90.00
_cell_angle_beta 90.00
_cell_angle_gamma 90.00
loop_
_symmetry_equiv_pos_as_xyz
'x,y,z'
'-x,-y,-z'
'-x+1/2,-y,z+1/2'
'x+1/2,y,-z+1/2'
'x+1/2,-y+1/2,-z+1/2'
'-x+1/2,y+1/2,z+1/2'
'-x,y+1/2,-z'
'x,-y+1/2,z'
loop_
_atom_site_label
_atom_site_type_symbol
_atom_site_fract_x
_atom_site_fract_y
_atom_site_fract_z
Ni1 Ni 0.122 0.250 0.249
Ni2 Ni 0.123 0.250 0.584
Ir1 Ir 0.130 0.250 0.916
```

***

(5)
Computed, not measured: a geometry-optimized NiIr4 structure at the PBE level of DFT.

Computed properties:
V: 13.938 Å³/atom
energy of formation from the pure elements: 0.0124 eV per atom

The structure in CIF format:
```
data_NiIr4
_symmetry_space_group_name_H-M 'R -3 m'
_symmetry_Int_Tables_number 166
_symmetry_space_group_name_Hall '-R 3 2"'
_cell_length_a 2.7200
_cell_length_b 2.7200
_cell_length_c 32.6310
_cell_angle_alpha 90.00
_cell_angle_beta 90.00
_cell_angle_gamma 120.00
loop_
_atom_site_label
_atom_site_type_symbol
_atom_site_fract_x
_atom_site_fract_y
_atom_site_fract_z
Ni1 Ni 0.0000 0.0000 0.0000
Ir1 Ir 0.0000 0.0000 0.2010
Ir2 Ir 0.0000 0.0000 0.3969
```

***

(6)
Computed, not measured: a geometry-optimized Ni2Ir structure at the PBE level of DFT.

Computed properties:
V: 15.584 Å³/atom
energy of formation from the pure elements: 0.4937 eV per atom

The structure in CIF format:
```
data_Ni2Ir
_symmetry_space_group_name_H-M 'P 4/m m m'
_symmetry_Int_Tables_number 123
_symmetry_space_group_name_Hall '-P 4 2'
_cell_length_a 4.248
_cell_length_b 4.248
_cell_length_c 2.591
_cell_angle_alpha 90.00
_cell_angle_beta 90.00
_cell_angle_gamma 90.00
loop_
_atom_site_label
_atom_site_type_symbol
_atom_site_fract_x
_atom_site_fract_y
_atom_site_fract_z
Ni1 Ni 0.000 0.500 0.000
Ir1 Ir 0.000 0.000 0.500
```